## LuMgBiOs (PBE)

Data for a geometry-optimized LuMgBiOs structure.

The structure belongs to space group F-43m (No. 216); the cell edges are 6.872, 6.872 and 6.872 Å and the angles 90.00°, 90.00° and 90.00°. The distinct sites, in fractional coordinates, are Lu at (0.000, 0.000, 0.000), Mg at (0.250, 0.250, 0.750), Bi at (0.250, 0.250, 0.250) and Os at (0.000, 0.000, 0.500).

The energy above the most stable polymorph in this dataset is 58 meV per atom. Its final energy is -5.19 eV/atom. The density is 12.2 g/cm3.